(1)
The following is a PBE calculation of Ag2BrCl after structural relaxation, from Alexandria.

The calculation puts the uncorrected formation energy at -0.277 eV per atom. As for the crystal system: orthorhombic. The magnetic moment is 0.0 μB per formula unit. Its volume is 25.3 Å³ per atom. The space group is Cmmm, No. 65. The value obtained for the energy above the lowest structure with this stoichiometry is 10.9 kJ/mol of atoms.

Lattice parameters (Å, degrees): 3.9364 3.9364 7.4918 90.00 90.00 119.30
Atoms (fractional coordinates):
Ag  0.0000  0.0000  0.5084
Ag  0.0000  0.0000  0.9916
Br  0.5000  0.5000  0.2500
Cl  0.5000  0.5000  0.7500

=====

(2)
The following is a PBE calculation of Ta2FePt after structural relaxation, from Alexandria.

As for the crystal system: trigonal. The magnetic moment is 1.7 μB per formula unit. Its volume is 16.1 Å³ per atom. The space group is R-3m, No. 166. The value obtained for the energy above the lowest structure with this stoichiometry is 33.0 kJ/mol of atoms. The formation energy comes out at -0.1 eV per formula unit.

Lattice parameters (Å, degrees): 8.7924 8.7924 8.7924 19.21 19.21 19.21
Each line ends with the local moment (μB).
Atoms (fractional coordinates):
Ta  0.9947  0.9947  0.9947  0.02
Ta  0.5053  0.5053  0.5053  0.02
Pt  0.7500  0.7500  0.7500  0.00
Fe  0.2500  0.2500  0.2500  1.67

=====

(3)
The following is a PBE calculation of TeAs2Pt after structural relaxation, from Alexandria.

The calculation puts the uncorrected formation energy at 0.325 eV per atom. As for the crystal system: orthorhombic. The magnetic moment is 0.0 μB per formula unit. Its volume is 19.7 Å³ per atom. The space group is Pmmm, No. 47.

Lattice parameters (Å, degrees): 3.2258 4.8499 5.0485 90.00 90.00 90.00
Atoms (fractional coordinates):
As  0.0000  0.0000  0.0000
As  0.5000  0.5000  0.0000
Pt  0.5000  0.0000  0.5000
Te  0.0000  0.5000  0.5000

=====

(4)
The following is a PBE calculation of Tb8ZnSn2 after structural relaxation, from Alexandria.

As for the crystal system: monoclinic. The magnetic moment is 0.0 μB per formula unit. Its volume is 28.9 Å³ per atom. The space group is C2/m, No. 12. The formation energy comes out at -3.5 eV per formula unit.

Lattice parameters (Å, degrees): 5.0659 6.7304 9.9616 104.11 104.73 90.00
Atoms (fractional coordinates):
Tb  0.5922  0.4727  0.1844
Tb  0.4078  0.5273  0.8156
Tb  0.6521  0.9984  0.3042
Tb  0.3479  0.0016  0.6958
Tb  0.9821  0.2197  0.9643
Tb  0.7849  0.6830  0.5699
Tb  0.2151  0.3170  0.4301
Tb  0.0179  0.7803  0.0357
Sn  0.1807  0.7557  0.3614
Sn  0.8193  0.2443  0.6386
Zn  0.5000  0.0000  0.0000